1.
SrSc2Pt: relaxed, PBE-GGA.

a = 4.319 Å, b = 4.319 Å, c = 10.055 Å
α = 90.00°, β = 90.00°, γ = 90.00°
Fractional coordinates of all 8 atoms:
Sr 0.000 0.000 0.000
Sr 0.500 0.500 0.500
Sc 0.000 0.000 0.500
Sc 0.000 0.500 0.250
Sc 0.500 0.000 0.750
Sc 0.500 0.500 0.000
Pt 0.000 0.500 0.750
Pt 0.500 0.000 0.250

Output
* calculated formation energy: -0.089 eV per atom
* distance to the lowest polymorph of the same formula: 404 meV per atom
* total magnetization: 0.0 μB per formula unit


2.
SrSc2Pt: relaxed, PBE-GGA.

a = 5.685 Å, b = 5.685 Å, c = 17.443 Å
α = 90.00°, β = 90.00°, γ = 90.00°
Fractional coordinates of all 16 atoms:
Sr 0.000 0.250 0.375
Sr 0.000 0.750 0.625
Sr 0.500 0.250 0.125
Sr 0.500 0.750 0.875
Sc 0.000 0.000 0.000
Sc 0.000 0.500 0.000
Sc 0.250 0.250 0.750
Sc 0.250 0.750 0.250
Sc 0.500 0.000 0.500
Sc 0.500 0.500 0.500
Sc 0.750 0.250 0.750
Sc 0.750 0.750 0.250
Pt 0.000 0.250 0.875
Pt 0.000 0.750 0.125
Pt 0.500 0.250 0.625
Pt 0.500 0.750 0.375

Output
* calculated formation energy: 0.114 eV per atom
* distance to the lowest polymorph of the same formula: 606 meV per atom
* total magnetization: 0.9 μB per formula unit


3.
SrSc2Pt: relaxed, PBE-GGA.

a = 4.453 Å, b = 4.453 Å, c = 19.931 Å
α = 90.00°, β = 90.00°, γ = 120.00°
Fractional coordinates of all 12 atoms:
Sr 0.000 0.000 0.000
Sr 0.333 0.667 0.667
Sr 0.667 0.333 0.333
Sc 0.000 0.000 0.549
Sc 0.000 0.000 0.791
Sc 0.333 0.667 0.215
Sc 0.333 0.667 0.458
Sc 0.667 0.333 0.125
Sc 0.667 0.333 0.882
Pt 0.000 0.000 0.172
Pt 0.333 0.667 0.839
Pt 0.667 0.333 0.506

Output
* calculated formation energy: -0.493 eV per atom
* distance to the lowest polymorph of the same formula: 0 meV per atom
* total magnetization: 0.0 μB per formula unit


4.
SrSc2Pt2: relaxed, PBE-GGA.

a = 8.277 Å, b = 8.277 Å, c = 3.049 Å
α = 90.00°, β = 90.00°, γ = 90.00°
Fractional coordinates of all 10 atoms:
Sr 0.000 0.000 0.000
Sr 0.500 0.500 0.000
Sc 0.134 0.366 0.000
Sc 0.366 0.866 0.000
Sc 0.634 0.134 0.000
Sc 0.866 0.634 0.000
Pt 0.159 0.659 0.500
Pt 0.341 0.159 0.500
Pt 0.659 0.841 0.500
Pt 0.841 0.341 0.500

Output
* calculated formation energy: -0.841 eV per atom
* distance to the lowest polymorph of the same formula: 171 meV per atom
* total magnetization: 0.0 μB per formula unit


5.
SrScPt: relaxed, PBE-GGA.

a = 4.160 Å, b = 4.160 Å, c = 6.232 Å
α = 90.00°, β = 90.00°, γ = 120.00°
Fractional coordinates of all 3 atoms:
Sr 0.000 0.000 0.000
Sc 0.333 0.667 0.480
Pt 0.667 0.333 0.312

Output
* calculated formation energy: -0.595 eV per atom
* distance to the lowest polymorph of the same formula: 259 meV per atom
* total magnetization: 0.0 μB per formula unit


6.
SrSc2Pt: relaxed, PBE-GGA.

a = 3.753 Å, b = 3.753 Å, c = 28.188 Å
α = 90.00°, β = 90.00°, γ = 120.00°
Fractional coordinates of all 12 atoms:
Sr 0.000 0.000 0.000
Sr 0.333 0.667 0.667
Sr 0.667 0.333 0.333
Sc 0.000 0.000 0.219
Sc 0.000 0.000 0.462
Sc 0.333 0.667 0.128
Sc 0.333 0.667 0.886
Sc 0.667 0.333 0.552
Sc 0.667 0.333 0.795
Pt 0.000 0.000 0.743
Pt 0.333 0.667 0.409
Pt 0.667 0.333 0.076

Output
* calculated formation energy: -0.244 eV per atom
* distance to the lowest polymorph of the same formula: 249 meV per atom
* total magnetization: 1.1 μB per formula unit


7.
SrSc2Pt: relaxed, PBE-GGA.

a = 3.594 Å, b = 3.608 Å, c = 8.082 Å
α = 90.00°, β = 90.00°, γ = 90.00°
Fractional coordinates of all 4 atoms:
Sr 0.000 0.000 0.000
Sc 0.000 0.000 0.406
Sc 0.500 0.500 0.648
Pt 0.500 0.500 0.274

Output
* calculated formation energy: -0.444 eV per atom
* distance to the lowest polymorph of the same formula: 49 meV per atom
* total magnetization: 0.8 μB per formula unit


8.
SrSc2Pt2: relaxed, PBE-GGA.

a = 8.024 Å, b = 8.024 Å, c = 3.449 Å
α = 90.00°, β = 90.00°, γ = 90.00°
Fractional coordinates of all 10 atoms:
Sr 0.000 0.000 0.000
Sr 0.500 0.500 0.000
Sc 0.141 0.359 0.500
Sc 0.359 0.859 0.500
Sc 0.641 0.141 0.500
Sc 0.859 0.641 0.500
Pt 0.140 0.640 0.000
Pt 0.360 0.140 0.000
Pt 0.640 0.860 0.000
Pt 0.860 0.360 0.000

Output
* calculated formation energy: -0.836 eV per atom
* distance to the lowest polymorph of the same formula: 176 meV per atom
* total magnetization: 0.0 μB per formula unit


9.
Sr3ScPt: relaxed, PBE-GGA.

a = 5.876 Å, b = 5.876 Å, c = 5.876 Å
α = 90.00°, β = 90.00°, γ = 90.00°
Fractional coordinates of all 5 atoms:
Sr 0.000 0.000 0.500
Sr 0.000 0.500 0.000
Sr 0.500 0.000 0.000
Sc 0.500 0.500 0.500
Pt 0.000 0.000 0.000

Output
* calculated formation energy: -0.110 eV per atom
* distance to the lowest polymorph of the same formula: 0 meV per atom
* total magnetization: 0.0 μB per formula unit


10.
SrSc2Pt: relaxed, PBE-GGA.

a = 3.291 Å, b = 3.291 Å, c = 33.252 Å
α = 90.00°, β = 90.00°, γ = 120.00°
Fractional coordinates of all 12 atoms:
Sr 0.000 0.000 0.000
Sr 0.333 0.667 0.667
Sr 0.667 0.333 0.333
Sc 0.000 0.000 0.425
Sc 0.000 0.000 0.575
Sc 0.333 0.667 0.092
Sc 0.333 0.667 0.242
Sc 0.667 0.333 0.758
Sc 0.667 0.333 0.908
Pt 0.000 0.000 0.500
Pt 0.333 0.667 0.167
Pt 0.667 0.333 0.833

Output
* calculated formation energy: 0.322 eV per atom
* distance to the lowest polymorph of the same formula: 815 meV per atom
* total magnetization: 0.0 μB per formula unit


11.
SrScPt: relaxed, PBE-GGA.

a = 6.920 Å, b = 6.920 Å, c = 6.920 Å
α = 90.00°, β = 90.00°, γ = 90.00°
Fractional coordinates of all 12 atoms:
Sr 0.000 0.000 0.000
Sr 0.000 0.500 0.500
Sr 0.500 0.000 0.500
Sr 0.500 0.500 0.000
Sc 0.000 0.000 0.500
Sc 0.000 0.500 0.000
Sc 0.500 0.000 0.000
Sc 0.500 0.500 0.500
Pt 0.250 0.250 0.250
Pt 0.250 0.750 0.750
Pt 0.750 0.250 0.750
Pt 0.750 0.750 0.250

Output
* calculated formation energy: -0.503 eV per atom
* distance to the lowest polymorph of the same formula: 350 meV per atom
* total magnetization: 0.0 μB per formula unit


12.
SrSc2Pt: relaxed, PBE-GGA.

a = 7.216 Å, b = 7.216 Å, c = 7.216 Å
α = 90.00°, β = 90.00°, γ = 90.00°
Fractional coordinates of all 16 atoms:
Sr 0.000 0.000 0.000
Sr 0.000 0.500 0.500
Sr 0.500 0.000 0.500
Sr 0.500 0.500 0.000
Sc 0.000 0.000 0.500
Sc 0.000 0.500 0.000
Sc 0.250 0.250 0.250
Sc 0.250 0.750 0.750
Sc 0.500 0.000 0.000
Sc 0.500 0.500 0.500
Sc 0.750 0.250 0.750
Sc 0.750 0.750 0.250
Pt 0.250 0.250 0.750
Pt 0.250 0.750 0.250
Pt 0.750 0.250 0.250
Pt 0.750 0.750 0.750

Output
* calculated formation energy: -0.087 eV per atom
* distance to the lowest polymorph of the same formula: 406 meV per atom
* total magnetization: 0.4 μB per formula unit


Which value of distance to the lowest polymorph of the same formula does entry 7 give? 49 meV per atom


Among the records above, which one has the highest calculated formation energy? number 10